VASP calculation (GGA-PBE) on a relaxed CrNi2 crystal.

Its electronic total energy is -6.47 eV per atom. The formation enthalpy at 0 K comes out at 0.60 eV per atom. The calculation puts the density of states at the Fermi level at 15.145 states/eV per cell.

The structure belongs to space group Fm-3m (No. 225); the cell edges are 5.431, 5.431 and 5.431 Å and the angles 90.00°, 90.00° and 90.00°. The inequivalent atoms are Cr at (0.000, 0.000, 0.000) and Ni at (0.250, 0.250, 0.250).